YErPO | PBE | relaxed

Calculated values
total magnetization: 0.01 Bohr magnetons per cell
VASP energy: -7.251 eV/atom
energy above the most stable polymorph in this dataset: 0.1215 eV per atom
symmetry: P4/nmm (129)

Geometry as POSCAR:
```
YErPO
1.0
4.308 0.000 0.000
0.000 4.308 0.000
0.000 0.000 8.452
Y Er P O
2 2 2 2
Direct
0.250 0.750 0.000 Y
0.750 0.250 0.000 Y
0.250 0.250 0.402 Er
0.750 0.750 0.598 Er
0.250 0.250 0.800 P
0.750 0.750 0.200 P
0.250 0.750 0.500 O
0.750 0.250 0.500 O
```